[1]
A relaxed structure of SrAg2Rh. Source: Alexandria, functional PBE.

Structure (POSCAR):
```
SrAg2Rh
1.0
3.4047 0.0000 0.0000
0.0000 4.4504 0.0000
-1.6092 0.0000 5.7307
Sr Ag Rh
1 2 1
Direct
0.0000 0.0000 0.0000
0.2786 0.0000 0.5259
0.7096 0.5000 0.3899
0.4102 0.5000 0.8098
```

Results
The calculation puts the formation energy at 0.0749 eV/atom. Its space group is Pm (6). As for the mass density: 7769 kg/m³.



[2]
A relaxed structure of Ba2CaPbN. Source: Alexandria, functional PBE.

Structure (POSCAR):
```
Ba2CaPbN
1.0
5.7753 0.0000 0.0000
0.0000 5.7753 0.0000
0.0000 0.0000 4.8310
Ba Ca Pb N
2 1 1 1
Direct
0.0000 0.5000 0.0000
0.5000 0.0000 0.0000
0.0000 0.0000 0.5000
0.5000 0.5000 0.5000
0.0000 0.0000 0.0000
```

Results
The uncorrected formation energy comes out at -0.528 eV per atom. Its space group is P4/mmm (123). As for the mass density: 5523 kg/m³.



[3]
A relaxed structure of MnReTe2. Source: Alexandria, functional PBE.

Structure (POSCAR):
```
MnReTe2
1.0
8.1216 0.0000 0.0000
0.0000 3.4316 0.0000
-1.2607 0.0000 5.9122
Mn Re Te
2 2 4
Direct
0.0000 0.0000 0.0000
0.5000 0.5000 0.0000
0.0000 0.5000 0.5000
0.5000 0.0000 0.5000
0.2409 0.0000 0.7346
0.2591 0.5000 0.2654
0.7409 0.5000 0.7346
0.7591 0.0000 0.2654
```

Results
The uncorrected formation energy comes out at 0.558 eV per atom. Its space group is C2/m (12). As for the mass density: 10004 kg/m³.